(1)
Here is La2ScMnGe after structural relaxation from the Alexandria database. Energies are from GGA-PBE.

Computed properties:
space group: P4/mmm (123)
energy relative to the elements: -0.050 eV/atom
M_tot: 0.0 μB per formula unit

abc: 5.0596 4.9645 5.0596
angles: 90.00 90.00 90.00
Element x y z (fractional)
Mn 0.0000 0.0000 0.0000
Sc 0.0000 0.5000 0.0000
Ge 0.5000 0.5000 0.5000
La 0.5000 0.0000 0.0000
La 0.0000 0.0000 0.5000

---

(2)
Here is La3PrO4 after structural relaxation from the Alexandria database. Energies are from GGA-PBE.

Computed properties:
space group: P2/c (13)
ΔE to the lowest computed polymorph: 0 meV per atom
M_tot: 0.0 μB per formula unit
raw formation energy: -2.82 eV per atom

abc: 6.3151 6.3150 7.2253
angles: 90.00 90.00 109.30
Element x y z (fractional)
O 0.5003 0.7504 0.6258
O 0.9997 0.2496 0.6258
O 0.0003 0.7504 0.3742
O 0.4997 0.2496 0.3742
O 0.4999 0.7505 0.1243
O 0.0001 0.2495 0.1243
O 0.5001 0.2495 0.8757
O 0.9999 0.7505 0.8757
La 0.7500 0.5000 0.6253
La 0.2500 0.0000 0.6254
La 0.7500 0.0000 0.3746
La 0.2500 0.5000 0.8754
La 0.7500 0.5000 0.1246
La 0.2500 0.5000 0.3747
Pr 0.2500 0.0000 0.1247
Pr 0.7500 0.0000 0.8753

---

(3)
Here is Li2Ge2Pd after structural relaxation from the Alexandria database. Energies are from GGA-PBE.

Computed properties:
space group: P4/mbm (127)
energy relative to the elements: -0.408 eV/atom
M_tot: 0.0 μB per formula unit

abc: 6.4403 6.4403 3.9732
angles: 90.00 90.00 90.00
Element x y z (fractional)
Li 0.1697 0.6697 0.5000
Li 0.6697 0.8303 0.5000
Li 0.3303 0.1697 0.5000
Li 0.8303 0.3303 0.5000
Pd 0.5000 0.5000 0.0000
Pd 0.0000 0.0000 0.0000
Ge 0.1356 0.3644 0.0000
Ge 0.3644 0.8644 0.0000
Ge 0.6356 0.1356 0.0000
Ge 0.8644 0.6356 0.0000

---

(4)
Here is Zr4BS3 after structural relaxation from the Alexandria database. Energies are from GGA-PBE.

Computed properties:
space group: Cmmm (65)
M_tot: 0.0 μB per formula unit
raw formation energy: -1.34 eV per atom

abc: 3.6126 6.4161 6.4161
angles: 108.92 90.00 90.00
Element x y z (fractional)
Zr 0.0000 0.2150 0.2150
Zr 0.5000 0.7767 0.2233
Zr 0.0000 0.7850 0.7850
Zr 0.5000 0.2233 0.7767
S 0.0000 0.0000 0.5000
S 0.0000 0.5000 0.0000
S 0.5000 0.5000 0.5000
B 0.5000 0.0000 0.0000

---

(5)
Here is Pu3CoGe2 after structural relaxation from the Alexandria database. Energies are from GGA-PBE.

Computed properties:
space group: Ibam (72)
energy relative to the elements: -0.214 eV/atom
ΔE to the lowest computed polymorph: 131 meV per atom
M_tot: 4.5 μB per formula unit

abc: 6.1448 6.1434 7.6935
angles: 113.52 113.54 90.00
Element x y z (fractional)
Ge 0.9201 0.6282 0.2565
Ge 0.0799 0.3718 0.7435
Ge 0.6636 0.8718 0.7435
Ge 0.3364 0.1282 0.2565
Pu 0.8636 0.1372 0.2744
Pu 0.4108 0.6372 0.2744
Pu 0.5000 0.2500 0.0000
Pu 0.5892 0.3628 0.7256
Pu 0.1364 0.8628 0.7256
Pu 0.5000 0.7500 0.0000
Co 0.0000 0.2500 0.0000
Co 0.0000 0.7500 0.0000

---

(6)
Here is CdTc2Mo after structural relaxation from the Alexandria database. Energies are from GGA-PBE.

Computed properties:
space group: C2/m (12)
energy relative to the elements: 0.375 eV/atom
M_tot: 0.0 μB per formula unit

abc: 4.9733 4.9733 4.8288
angles: 73.36 73.36 35.18
Element x y z (fractional)
Tc 0.5210 0.5210 0.4662
Tc 0.9790 0.9790 0.0338
Cd 0.7500 0.7500 0.7500
Mo 0.2500 0.2500 0.2500

---

(7)
Here is Nd2Sn3Ir after structural relaxation from the Alexandria database. Energies are from GGA-PBE.

Computed properties:
space group: Pmm2 (25)
energy relative to the elements: -0.561 eV/atom
ΔE to the lowest computed polymorph: 90 meV per atom
M_tot: 0.0 μB per formula unit

abc: 4.1276 4.8089 8.0312
angles: 90.00 90.00 90.00
Element x y z (fractional)
Sn 0.5000 0.0000 0.1823
Sn 0.5000 0.5000 0.6449
Sn 0.5000 0.0000 0.8313
Ir 0.5000 0.5000 0.3173
Nd 0.0000 0.5000 0.0346
Nd 0.0000 0.0000 0.4895

---

(8)
Here is Sm12Os3O5 after structural relaxation from the Alexandria database. Energies are from GGA-PBE.

Computed properties:
space group: Ia-3d (230)
M_tot: 0.0 μB per formula unit
raw formation energy: -1.40 eV per atom

abc: 13.4197 13.4197 13.4197
angles: 109.47 109.47 109.47
Element x y z (fractional)
Os 0.8750 0.7500 0.1250
Os 0.3750 0.6250 0.2500
Os 0.1250 0.8750 0.7500
Os 0.7500 0.8750 0.6250
Os 0.6250 0.2500 0.3750
Os 0.3750 0.7500 0.6250
Os 0.6250 0.3750 0.7500
Os 0.2500 0.6250 0.8750
Os 0.8750 0.1250 0.2500
Os 0.1250 0.2500 0.8750
Os 0.2500 0.1250 0.3750
Os 0.7500 0.3750 0.1250
Sm 0.6830 0.2085 0.5875
Sm 0.0954 0.1830 0.4745
Sm 0.4745 0.6830 0.0954
Sm 0.4046 0.0255 0.3170
Sm 0.6830 0.4745 0.5954
Sm 0.7085 0.5875 0.1830
Sm 0.5255 0.2085 0.1210
Sm 0.4046 0.3790 0.5875
Sm 0.1210 0.4125 0.0954
Sm 0.2085 0.5255 0.6210
Sm 0.6210 0.5954 0.9125
Sm 0.4745 0.7915 0.8790
Sm 0.5875 0.7085 0.6830
Sm 0.6210 0.0255 0.2085
Sm 0.7915 0.4745 0.3790
Sm 0.2085 0.6830 0.0875
Sm 0.9745 0.5954 0.1830
Sm 0.3790 0.9745 0.7915
Sm 0.4125 0.2915 0.3170
Sm 0.5954 0.9745 0.6830
Sm 0.9046 0.0875 0.8790
Sm 0.5875 0.8790 0.4046
Sm 0.2915 0.8790 0.9745
Sm 0.0255 0.4046 0.8170
Sm 0.3170 0.7915 0.4125
Sm 0.0875 0.1830 0.2085
Sm 0.3170 0.5255 0.4046
Sm 0.0255 0.6210 0.7085
Sm 0.9046 0.8170 0.5255
Sm 0.7085 0.1210 0.0255
Sm 0.3790 0.4046 0.0875
Sm 0.4125 0.1210 0.5954
Sm 0.1830 0.0875 0.7085
Sm 0.8790 0.5875 0.9046
Sm 0.0954 0.9125 0.1210
Sm 0.7915 0.3170 0.9125
Sm 0.9125 0.0954 0.6210
Sm 0.9125 0.8170 0.7915
Sm 0.9745 0.3790 0.2915
Sm 0.8170 0.9125 0.2915
Sm 0.1210 0.7085 0.5255
Sm 0.5255 0.3170 0.9046
Sm 0.1830 0.0954 0.9745
Sm 0.2915 0.4125 0.8170
Sm 0.5954 0.6210 0.4125
Sm 0.8790 0.2915 0.4745
Sm 0.0875 0.9046 0.3790
Sm 0.8170 0.9046 0.0255
O 0.8750 0.6250 0.7500
O 0.5000 0.5000 0.5000
O 0.7500 0.1250 0.8750
O 0.8750 0.2500 0.6250
O 0.0000 0.0000 0.5000
O 0.6250 0.8750 0.2500
O 0.0000 0.5000 0.5000
O 0.7500 0.6250 0.3750
O 0.5000 0.0000 0.5000
O 0.1250 0.7500 0.3750
O 0.1250 0.3750 0.2500
O 0.0000 0.5000 0.0000
O 0.0000 0.0000 0.0000
O 0.2500 0.3750 0.6250
O 0.6250 0.7500 0.8750
O 0.5000 0.0000 0.0000
O 0.3750 0.1250 0.7500
O 0.2500 0.8750 0.1250
O 0.5000 0.5000 0.0000
O 0.3750 0.2500 0.1250